Below is a relaxed CsKSnHg2 crystal, with properties calculated at the PBE level.

a = 6.0116 Å, b = 6.0116 Å, c = 6.5027 Å
α = 90.00°, β = 90.00°, γ = 90.00°
Last column: nearest neighbours and their distance in Å.
Sites, in units of the cell vectors:
Cs 0.5000 0.5000 0.5000  4 K 4.25, 8 Hg 4.43
K 0.0000 0.0000 0.5000  2 Sn 3.25
Sn 0.0000 0.0000 0.0000  4 Hg 3.01, 2 K 3.25
Hg 0.5000 0.0000 0.0000  2 Sn 3.01
Hg 0.0000 0.5000 0.0000  2 Sn 3.01

**Space group**: P4/mmm (123)
**ΔH_f (0 K)**: -62 meV/atom

Below is a relaxed Sc2As crystal, with properties calculated at the PBE level.

a = 3.7902 Å, b = 6.1709 Å, c = 6.1546 Å
α = 90.00°, β = 90.00°, γ = 90.00°
Last column: nearest neighbours and their distance in Å.
Sites, in units of the cell vectors:
Sc 0.5000 0.2615 0.1455  3 As 2.63-2.65
As 0.0000 0.0000 0.0000  6 Sc 2.63-2.65
Sc 0.5000 0.7385 0.8545  3 As 2.63-2.65
Sc 0.0000 0.7615 0.3545  3 As 2.63-2.65
As 0.5000 0.5000 0.5000  6 Sc 2.63-2.65
Sc 0.0000 0.2385 0.6455  3 As 2.63-2.65

**Space group**: Pnnm (58)
**ΔH_f (0 K)**: -743 meV/atom

Below is a relaxed PmP2 crystal, with properties calculated at the PBE level.

a = 3.9631 Å, b = 3.9631 Å, c = 5.5995 Å
α = 119.18°, β = 119.18°, γ = 90.00°
Last column: nearest neighbours and their distance in Å.
Sites, in units of the cell vectors:
Pm 0.5000 0.5000 0.0000  10 P 2.95-3.12
P 0.7893 0.7893 0.7154  2 P 2.31-2.36
P 0.2107 0.2107 0.2846  2 P 2.31-2.36

**Space group**: C2/m (12)
**ΔH_f (0 K)**: -818 meV/atom
**Distance to the lowest polymorph of the same formula**: 226 meV per atom

Below is a relaxed Zr2ZnP crystal, with properties calculated at the PBE level.

a = 7.2651 Å, b = 7.2651 Å, c = 7.2651 Å
α = 29.00°, β = 29.00°, γ = 29.00°
Last column: nearest neighbours and their distance in Å.
Sites, in units of the cell vectors:
Zr 0.9888 0.9888 0.9888  3 Zn 2.86, 3 Zr 3.16
Zr 0.7690 0.7690 0.7690  3 P 2.65
P 0.5132 0.5132 0.5132  3 Zn 2.34
Zn 0.2290 0.2290 0.2290  3 P 2.34

**Space group**: R3m (160)
**ΔH_f (0 K)**: -269 meV/atom

Below is a relaxed PmYSI crystal, with properties calculated at the PBE level.

a = 3.9767 Å, b = 3.9783 Å, c = 8.1198 Å
α = 90.00°, β = 104.12°, γ = 120.01°
Last column: nearest neighbours and their distance in Å.
Sites, in units of the cell vectors:
Pm 0.5077 0.1518 0.6746  3 S 2.79
Y 0.0985 0.9472 0.0613  3 S 2.71
S 0.3096 0.5527 0.8774  3 Y 2.71, 3 Pm 2.79
I 0.9621 0.3791 0.3565  3 Y 3.25, 3 Pm 3.38

**Space group**: R3m (160)
**Formation energy from raw total energies**: -5.59 eV/f.u.

Below is a relaxed Be2SiBr crystal, with properties calculated at the PBE level.

a = 5.2634 Å, b = 5.2634 Å, c = 5.2634 Å
α = 147.52°, β = 121.26°, γ = 68.75°
Last column: nearest neighbours and their distance in Å.
Sites, in units of the cell vectors:
Si 0.2039 0.7039 0.5000  2 Be 2.51
Be 0.7660 0.2660 0.5000  2 Be 2.31, 2 Br 2.32
Be 0.9704 0.9704 0.0000  2 Be 2.31, 2 Si 2.51
Br 0.5596 0.5596 0.0000  2 Be 2.32

**Space group**: Imm2 (44)
**Distance to the lowest polymorph of the same formula**: 469 meV per atom
**Formation energy from raw total energies**: 3.04 eV/f.u.

Copy entry 2 word for word.
Below is a relaxed Sc2As crystal, with properties calculated at the PBE level.

a = 3.7902 Å, b = 6.1709 Å, c = 6.1546 Å
α = 90.00°, β = 90.00°, γ = 90.00°
Last column: nearest neighbours and their distance in Å.
Sites, in units of the cell vectors:
Sc 0.5000 0.2615 0.1455  3 As 2.63-2.65
As 0.0000 0.0000 0.0000  6 Sc 2.63-2.65
Sc 0.5000 0.7385 0.8545  3 As 2.63-2.65
Sc 0.0000 0.7615 0.3545  3 As 2.63-2.65
As 0.5000 0.5000 0.5000  6 Sc 2.63-2.65
Sc 0.0000 0.2385 0.6455  3 As 2.63-2.65

**Space group**: Pnnm (58)
**ΔH_f (0 K)**: -743 meV/atom